1.
Mg2Cd2Pb3 | PBE-GGA | optimized geometry

a = 7.903 Å, b = 7.903 Å, c = 7.903 Å
α = 109.47°, β = 109.47°, γ = 109.47°
Positions (direct):
Mg (0.000, 0.404, 0.500)
Mg (0.096, 0.096, 0.096)
Mg (0.404, 0.500, 0.000)
Mg (0.500, 0.000, 0.404)
Cd (0.000, 0.800, 0.500)
Cd (0.500, 0.000, 0.800)
Cd (0.700, 0.700, 0.700)
Cd (0.800, 0.500, 0.000)
Pb (0.182, 0.750, 0.932)
Pb (0.250, 0.568, 0.318)
Pb (0.318, 0.250, 0.568)
Pb (0.568, 0.318, 0.250)
Pb (0.750, 0.932, 0.182)
Pb (0.932, 0.182, 0.750)

Values from the calculation:
calculated volume = 27.14 Å³ per atom
total moment = 0.0 μB/cell
ΔE_f = 0.0439 eV/atom

2.
PmZn2GaRu | PBE-GGA | optimized geometry

a = 3.772 Å, b = 4.256 Å, c = 11.435 Å
α = 90.00°, β = 90.00°, γ = 90.00°
Positions (direct):
Pm (0.000, 0.000, 0.000)
Pm (0.500, 0.500, 0.500)
Zn (0.000, 0.000, 0.602)
Zn (0.000, 0.500, 0.250)
Zn (0.500, 0.000, 0.750)
Zn (0.500, 0.500, 0.102)
Ga (0.000, 0.000, 0.376)
Ga (0.500, 0.500, 0.876)
Ru (0.000, 0.500, 0.729)
Ru (0.500, 0.000, 0.229)

Values from the calculation:
calculated volume = 18.36 Å³ per atom
total moment = 0.0 μB/cell
ΔE_f = -0.2924 eV/atom

3.
NaSr2CaPt | PBE-GGA | optimized geometry

a = 5.996 Å, b = 5.996 Å, c = 5.676 Å
α = 90.00°, β = 90.00°, γ = 90.00°
Positions (direct):
Na (0.000, 0.000, 0.000)
Sr (0.000, 0.500, 0.500)
Sr (0.500, 0.000, 0.500)
Ca (0.500, 0.500, 0.000)
Pt (0.500, 0.500, 0.500)

Values from the calculation:
calculated volume = 40.81 Å³ per atom
total moment = 0.0 μB/cell
offset from the most stable computed form = 0.0 meV per atom
ΔE_f = -0.4408 eV/atom

4.
Ho2Al2GaIr5 | PBE-GGA | optimized geometry

a = 9.824 Å, b = 9.824 Å, c = 3.468 Å
α = 90.00°, β = 90.00°, γ = 90.00°
Positions (direct):
Ho (0.175, 0.325, 0.000)
Ho (0.325, 0.825, 0.000)
Ho (0.675, 0.175, 0.000)
Ho (0.825, 0.675, 0.000)
Al (0.125, 0.625, 0.000)
Al (0.375, 0.125, 0.000)
Al (0.625, 0.875, 0.000)
Al (0.875, 0.375, 0.000)
Ga (0.000, 0.000, 0.000)
Ga (0.500, 0.500, 0.000)
Ir (0.000, 0.500, 0.500)
Ir (0.064, 0.797, 0.500)
Ir (0.203, 0.064, 0.500)
Ir (0.297, 0.564, 0.500)
Ir (0.436, 0.297, 0.500)
Ir (0.500, 0.000, 0.500)
Ir (0.564, 0.703, 0.500)
Ir (0.703, 0.436, 0.500)
Ir (0.797, 0.936, 0.500)
Ir (0.936, 0.203, 0.500)

Values from the calculation:
calculated volume = 16.74 Å³ per atom
total moment = 0.0 μB/cell
ΔE_f = -0.7411 eV/atom

5.
LaIn4Bi | PBE-GGA | optimized geometry

a = 6.218 Å, b = 6.218 Å, c = 6.218 Å
α = 60.00°, β = 60.00°, γ = 60.00°
Positions (direct):
La (0.000, 0.000, 0.000)
In (0.375, 0.375, 0.375)
In (0.375, 0.375, 0.875)
In (0.375, 0.875, 0.375)
In (0.875, 0.375, 0.375)
Bi (0.750, 0.750, 0.750)

Values from the calculation:
calculated volume = 28.33 Å³ per atom
total moment = 0.0 μB/cell
ΔE_f = -0.1857 eV/atom

6.
V2ReNi2 | PBE-GGA | optimized geometry

a = 7.018 Å, b = 7.018 Å, c = 2.575 Å
α = 90.00°, β = 90.00°, γ = 90.00°
Positions (direct):
V (0.176, 0.324, 0.000)
V (0.324, 0.824, 0.000)
V (0.676, 0.176, 0.000)
V (0.824, 0.676, 0.000)
Re (0.000, 0.000, 0.500)
Re (0.500, 0.500, 0.500)
Ni (0.121, 0.621, 0.500)
Ni (0.379, 0.121, 0.500)
Ni (0.621, 0.879, 0.500)
Ni (0.879, 0.379, 0.500)

Values from the calculation:
calculated volume = 12.68 Å³ per atom
total moment = 0.0 μB/cell
offset from the most stable computed form = 0.0 meV per atom
ΔE_f = -0.0524 eV/atom

7.
Th2SnAs | PBE-GGA | optimized geometry

a = 4.361 Å, b = 23.967 Å, c = 4.428 Å
α = 90.00°, β = 90.00°, γ = 90.00°
Positions (direct):
Th (0.000, 0.069, 0.250)
Th (0.000, 0.315, 0.250)
Th (0.000, 0.685, 0.750)
Th (0.000, 0.931, 0.750)
Th (0.500, 0.185, 0.750)
Th (0.500, 0.431, 0.750)
Th (0.500, 0.569, 0.250)
Th (0.500, 0.815, 0.250)
Sn (0.000, 0.453, 0.250)
Sn (0.000, 0.547, 0.750)
Sn (0.500, 0.047, 0.750)
Sn (0.500, 0.953, 0.250)
As (0.000, 0.192, 0.250)
As (0.000, 0.808, 0.750)
As (0.500, 0.308, 0.750)
As (0.500, 0.692, 0.250)

Values from the calculation:
calculated volume = 28.93 Å³ per atom
total moment = 0.0 μB/cell
offset from the most stable computed form = 2.4 meV per atom
ΔE_f = -0.9121 eV/atom

8.
K2TlPI6 | PBE-GGA | optimized geometry

a = 8.596 Å, b = 8.596 Å, c = 8.596 Å
α = 59.11°, β = 59.11°, γ = 59.11°
Positions (direct):
K (0.000, 0.000, 0.000)
K (0.490, 0.490, 0.490)
Tl (0.210, 0.210, 0.210)
P (0.705, 0.705, 0.705)
I (0.018, 0.482, 0.840)
I (0.386, 0.918, 0.575)
I (0.482, 0.840, 0.018)
I (0.575, 0.386, 0.918)
I (0.840, 0.018, 0.482)
I (0.918, 0.575, 0.386)

Values from the calculation:
calculated volume = 44.00 Å³ per atom
ΔE_f (raw) = -0.69 eV/atom
total moment = 0.0 μB/cell

9.
BeZnRe2 | PBE-GGA | optimized geometry

a = 3.004 Å, b = 4.294 Å, c = 8.369 Å
α = 90.00°, β = 90.00°, γ = 90.00°
Positions (direct):
Be (0.000, 0.000, 0.000)
Be (0.500, 0.500, 0.500)
Zn (0.000, 0.000, 0.500)
Zn (0.500, 0.500, 0.000)
Re (0.000, 0.500, 0.263)
Re (0.000, 0.500, 0.737)
Re (0.500, 0.000, 0.237)
Re (0.500, 0.000, 0.763)

Values from the calculation:
calculated volume = 13.49 Å³ per atom
total moment = 0.0 μB/cell
ΔE_f = 0.2326 eV/atom

10.
CeMn5Ga7 | PBE-GGA | optimized geometry

a = 6.690 Å, b = 6.690 Å, c = 6.690 Å
α = 134.69°, β = 98.59°, γ = 98.48°
Positions (direct):
Ce (0.000, 0.000, 0.000)
Mn (0.232, 0.732, 0.500)
Mn (0.495, 0.000, 0.005)
Mn (0.495, 0.491, 0.495)
Mn (0.995, 0.000, 0.505)
Mn (0.995, 0.491, 0.995)
Ga (0.208, 0.503, 0.705)
Ga (0.326, 0.984, 0.342)
Ga (0.331, 0.331, 0.000)
Ga (0.642, 0.984, 0.658)
Ga (0.658, 0.658, 0.000)
Ga (0.761, 0.261, 0.500)
Ga (0.798, 0.503, 0.295)

Values from the calculation:
calculated volume = 15.11 Å³ per atom
total moment = 9.1 μB/cell
ΔE_f = -0.2272 eV/atom

11.
MnAlIn2 | PBE-GGA | optimized geometry

a = 4.948 Å, b = 3.273 Å, c = 5.379 Å
α = 90.00°, β = 111.73°, γ = 90.00°
Positions (direct):
Mn (0.000, 0.000, 0.000)
Al (0.000, 0.500, 0.500)
In (0.500, 0.000, 0.500)
In (0.500, 0.500, 0.000)

Values from the calculation:
calculated volume = 20.23 Å³ per atom
total moment = 3.7 μB/cell
ΔE_f = 0.2408 eV/atom

12.
Rb2ErGaO4 | PBE-GGA | optimized geometry

a = 12.841 Å, b = 11.500 Å, c = 6.915 Å
α = 84.53°, β = 63.06°, γ = 32.41°
Positions (direct):
Rb (0.059, 0.059, 0.691)
Rb (0.309, 0.309, 0.941)
Rb (0.691, 0.691, 0.059)
Rb (0.941, 0.941, 0.309)
Er (0.125, 0.125, 0.125)
Er (0.875, 0.875, 0.875)
Ga (0.375, 0.375, 0.375)
Ga (0.625, 0.625, 0.625)
O (0.022, 0.644, 0.550)
O (0.283, 0.550, 0.644)
O (0.356, 0.978, 0.717)
O (0.450, 0.717, 0.978)
O (0.550, 0.283, 0.022)
O (0.644, 0.022, 0.283)
O (0.717, 0.450, 0.356)
O (0.978, 0.356, 0.450)

Values from the calculation:
calculated volume = 24.38 Å³ per atom
ΔE_f (raw) = -1.95 eV/atom
total moment = 0.0 μB/cell

13.
TbPr8Nd6 | PBE-GGA | optimized geometry

a = 8.913 Å, b = 8.913 Å, c = 8.913 Å
α = 63.43°, β = 63.43°, γ = 63.43°
Positions (direct):
Tb (0.000, 0.000, 0.000)
Pr (0.113, 0.752, 0.715)
Pr (0.248, 0.285, 0.887)
Pr (0.285, 0.887, 0.248)
Pr (0.422, 0.422, 0.422)
Pr (0.578, 0.578, 0.578)
Pr (0.715, 0.113, 0.752)
Pr (0.752, 0.715, 0.113)
Pr (0.887, 0.248, 0.285)
Nd (0.097, 0.242, 0.540)
Nd (0.242, 0.540, 0.097)
Nd (0.460, 0.903, 0.758)
Nd (0.540, 0.097, 0.242)
Nd (0.758, 0.460, 0.903)
Nd (0.903, 0.758, 0.460)

Values from the calculation:
calculated volume = 35.91 Å³ per atom
total moment = 0.0 μB/cell
offset from the most stable computed form = 0.0 meV per atom
ΔE_f = 0.1080 eV/atom

14.
AcAlFeC | PBE-GGA | optimized geometry

a = 3.889 Å, b = 3.889 Å, c = 10.336 Å
α = 90.00°, β = 90.00°, γ = 90.00°
Positions (direct):
Ac (0.000, 0.000, 0.000)
Ac (0.500, 0.500, 0.500)
Al (0.000, 0.000, 0.308)
Al (0.500, 0.500, 0.808)
Fe (0.000, 0.000, 0.687)
Fe (0.500, 0.500, 0.187)
C (0.000, 0.000, 0.505)
C (0.500, 0.500, 0.005)

Values from the calculation:
calculated volume = 19.54 Å³ per atom
total moment = 6.0 μB/cell
ΔE_f = 0.2383 eV/atom

15.
NbVCu2As | PBE-GGA | optimized geometry

a = 4.572 Å, b = 4.572 Å, c = 4.467 Å
α = 90.00°, β = 90.00°, γ = 90.00°
Positions (direct):
Nb (0.000, 0.000, 0.000)
V (0.000, 0.000, 0.500)
Cu (0.000, 0.500, 0.500)
Cu (0.500, 0.000, 0.500)
As (0.500, 0.500, 0.000)

Values from the calculation:
calculated volume = 18.68 Å³ per atom
total moment = 0.0 μB/cell
ΔE_f = 1.0963 eV/atom

16.
Dy3Cu3Au | PBE-GGA | optimized geometry

a = 3.608 Å, b = 4.313 Å, c = 19.023 Å
α = 90.00°, β = 90.00°, γ = 90.00°
Positions (direct):
Dy (0.000, 0.000, 0.000)
Dy (0.000, 0.000, 0.374)
Dy (0.000, 0.500, 0.181)
Dy (0.500, 0.000, 0.681)
Dy (0.500, 0.500, 0.500)
Dy (0.500, 0.500, 0.874)
Cu (0.000, 0.000, 0.545)
Cu (0.000, 0.000, 0.834)
Cu (0.000, 0.500, 0.615)
Cu (0.500, 0.000, 0.115)
Cu (0.500, 0.500, 0.045)
Cu (0.500, 0.500, 0.334)
Au (0.000, 0.500, 0.750)
Au (0.500, 0.000, 0.250)

Values from the calculation:
calculated volume = 21.14 Å³ per atom
total moment = 0.0 μB/cell
ΔE_f = -0.3820 eV/atom

17.
AlRhPb2 | PBE-GGA | optimized geometry

a = 3.654 Å, b = 3.654 Å, c = 23.862 Å
α = 90.00°, β = 90.00°, γ = 120.00°
Positions (direct):
Al (0.000, 0.000, 0.000)
Al (0.333, 0.667, 0.667)
Al (0.667, 0.333, 0.333)
Rh (0.000, 0.000, 0.500)
Rh (0.333, 0.667, 0.167)
Rh (0.667, 0.333, 0.833)
Pb (0.000, 0.000, 0.243)
Pb (0.000, 0.000, 0.757)
Pb (0.333, 0.667, 0.423)
Pb (0.333, 0.667, 0.910)
Pb (0.667, 0.333, 0.090)
Pb (0.667, 0.333, 0.577)

Values from the calculation:
calculated volume = 22.99 Å³ per atom
total moment = 0.0 μB/cell
ΔE_f = 0.1881 eV/atom

18.
Pm5Nd2YHo | PBE-GGA | optimized geometry

a = 10.261 Å, b = 10.261 Å, c = 10.261 Å
α = 129.99°, β = 129.99°, γ = 73.43°
Positions (direct):
Pm (0.000, 0.000, 0.000)
Pm (0.073, 0.573, 0.930)
Pm (0.143, 0.073, 0.500)
Pm (0.357, 0.857, 0.930)
Pm (0.427, 0.357, 0.500)
Pm (0.500, 0.500, 0.000)
Pm (0.573, 0.643, 0.500)
Pm (0.643, 0.143, 0.070)
Pm (0.857, 0.927, 0.500)
Pm (0.927, 0.427, 0.070)
Nd (0.121, 0.379, 0.500)
Nd (0.379, 0.879, 0.259)
Nd (0.621, 0.121, 0.741)
Nd (0.879, 0.621, 0.500)
Y (0.250, 0.250, 0.000)
Y (0.750, 0.750, 0.000)
Ho (0.250, 0.750, 0.500)
Ho (0.750, 0.250, 0.500)

Values from the calculation:
calculated volume = 34.39 Å³ per atom
total moment = 0.0 μB/cell
ΔE_f = 0.2708 eV/atom

19.
PuBeC | PBE-GGA | optimized geometry

a = 3.240 Å, b = 3.240 Å, c = 3.949 Å
α = 90.00°, β = 90.00°, γ = 120.00°
Positions (direct):
Pu (0.000, 0.000, 0.000)
Be (0.667, 0.333, 0.500)
C (0.333, 0.667, 0.500)

Values from the calculation:
calculated volume = 11.97 Å³ per atom
total moment = 4.7 μB/cell
offset from the most stable computed form = 27.6 meV per atom
ΔE_f = -0.0224 eV/atom

20.
EuYEr4 | PBE-GGA | optimized geometry

a = 6.626 Å, b = 6.626 Å, c = 6.626 Å
α = 60.00°, β = 60.00°, γ = 60.00°
Positions (direct):
Eu (0.000, 0.000, 0.000)
Y (0.750, 0.750, 0.750)
Er (0.377, 0.377, 0.377)
Er (0.377, 0.377, 0.870)
Er (0.377, 0.870, 0.377)
Er (0.870, 0.377, 0.377)

Values from the calculation:
calculated volume = 34.28 Å³ per atom
total moment = 7.4 μB/cell
ΔE_f = 0.2369 eV/atom

21.
LiMgSe | PBE-GGA | optimized geometry

a = 4.100 Å, b = 4.100 Å, c = 7.255 Å
α = 90.00°, β = 90.00°, γ = 90.00°
Positions (direct):
Li (0.250, 0.250, 0.144)
Li (0.750, 0.750, 0.856)
Mg (0.250, 0.750, 0.500)
Mg (0.750, 0.250, 0.500)
Se (0.250, 0.250, 0.782)
Se (0.750, 0.750, 0.218)

Values from the calculation:
calculated volume = 20.32 Å³ per atom
ΔE_f (raw) = -0.64 eV/atom
total moment = 0.0 μB/cell
offset from the most stable computed form = 194.2 meV per atom

22.
BaLaAgAu | PBE-GGA | optimized geometry

a = 7.841 Å, b = 7.841 Å, c = 7.841 Å
α = 90.00°, β = 90.00°, γ = 90.00°
Positions (direct):
Ba (0.000, 0.000, 0.000)
Ba (0.000, 0.500, 0.500)
Ba (0.500, 0.000, 0.500)
Ba (0.500, 0.500, 0.000)
La (0.000, 0.000, 0.500)
La (0.000, 0.500, 0.000)
La (0.500, 0.000, 0.000)
La (0.500, 0.500, 0.500)
Ag (0.250, 0.250, 0.750)
Ag (0.250, 0.750, 0.250)
Ag (0.750, 0.250, 0.250)
Ag (0.750, 0.750, 0.750)
Au (0.250, 0.250, 0.250)
Au (0.250, 0.750, 0.750)
Au (0.750, 0.250, 0.750)
Au (0.750, 0.750, 0.250)

Values from the calculation:
calculated volume = 30.13 Å³ per atom
total moment = 0.0 μB/cell
ΔE_f = -0.4054 eV/atom

23.
Cd2SbPb | PBE-GGA | optimized geometry

a = 8.369 Å, b = 8.369 Å, c = 6.459 Å
α = 90.00°, β = 90.00°, γ = 90.00°
Positions (direct):
Cd (0.229, 0.750, 0.125)
Cd (0.250, 0.229, 0.875)
Cd (0.250, 0.271, 0.375)
Cd (0.271, 0.750, 0.625)
Cd (0.729, 0.250, 0.625)
Cd (0.750, 0.729, 0.375)
Cd (0.750, 0.771, 0.875)
Cd (0.771, 0.250, 0.125)
Sb (0.000, 0.000, 0.000)
Sb (0.000, 0.500, 0.250)
Sb (0.500, 0.000, 0.750)
Sb (0.500, 0.500, 0.500)
Pb (0.000, 0.000, 0.500)
Pb (0.000, 0.500, 0.750)
Pb (0.500, 0.000, 0.250)
Pb (0.500, 0.500, 0.000)

Values from the calculation:
calculated volume = 28.28 Å³ per atom
ΔE_f (raw) = 0.09 eV/atom
total moment = 0.0 μB/cell
offset from the most stable computed form = 32.6 meV per atom

24.
Y5Ge2Sb | PBE-GGA | optimized geometry

a = 8.766 Å, b = 8.766 Å, c = 8.766 Å
α = 126.63°, β = 126.63°, γ = 78.86°
Positions (direct):
Y (0.000, 0.000, 0.000)
Y (0.015, 0.515, 0.813)
Y (0.201, 0.015, 0.500)
Y (0.299, 0.799, 0.813)
Y (0.485, 0.299, 0.500)
Y (0.500, 0.500, 0.000)
Y (0.515, 0.701, 0.500)
Y (0.701, 0.201, 0.187)
Y (0.799, 0.985, 0.500)
Y (0.985, 0.485, 0.187)
Ge (0.147, 0.353, 0.500)
Ge (0.353, 0.853, 0.206)
Ge (0.647, 0.147, 0.794)
Ge (0.853, 0.647, 0.500)
Sb (0.250, 0.250, 0.000)
Sb (0.750, 0.750, 0.000)

Values from the calculation:
calculated volume = 26.24 Å³ per atom
ΔE_f (raw) = -0.83 eV/atom
total moment = 3.0 μB/cell